The following is a PBE calculation of LiMgNb2 after structural relaxation, from OQMD via LeMat-Bulk.

Cell: 4.6695 4.6695 4.6695 Å, 60.00 60.00 60.00°
Closest atoms and distances in Å follow each position.
Atoms (fractional coordinates):
Li (0.0000, 0.0000, 0.0000)  4 Nb 2.86, 4 Mg 2.86
Mg (0.2500, 0.2500, 0.2500)  4 Nb 2.86, 4 Li 2.86
Nb (0.5000, 0.5000, 0.5000)  4 Nb 2.86, 4 Mg 2.86
Nb (0.7500, 0.7500, 0.7500)  4 Nb 2.86, 4 Li 2.86

Values from the calculation:
SG	No. 216
uncorrected energy	-5.403	eV per atom

---

The following is a PBE calculation of Nd2Dy2CI2Br3 after structural relaxation, from OQMD via LeMat-Bulk.

Cell: 9.4987 9.4987 8.3483 Å, 101.96 101.96 23.81°
Closest atoms and distances in Å follow each position.
Atoms (fractional coordinates):
Nd (0.1380, 0.1380, 0.0647)  1 C 2.51
Nd (0.8620, 0.8620, 0.9353)  1 C 2.51
Dy (0.4987, 0.4987, 0.1979)  2 C 2.57
Dy (0.5013, 0.5013, 0.8021)  2 C 2.57
C (0.0000, 0.0000, 0.0000)  2 Nd 2.51, 4 Dy 2.57
I (0.3363, 0.3363, 0.6380)  1 Dy 3.08, 2 Nd 3.12
I (0.6637, 0.6637, 0.3620)  1 Dy 3.08, 2 Nd 3.12
Br (0.0000, 0.0000, 0.5000)  4 Dy 3.19
Br (0.3372, 0.3372, 0.1878)  2 Nd 2.98, 1 Dy 2.99
Br (0.6628, 0.6628, 0.8122)  2 Nd 2.98, 1 Dy 2.99

Values from the calculation:
ΔE to the lowest computed polymorph	0.23	eV per formula unit
SG	No. 12
uncorrected energy	-4.887	eV per atom

---

The following is a PBE calculation of Nd2AgGe2Au after structural relaxation, from OQMD via LeMat-Bulk.

Cell: 4.5551 4.5551 7.6429 Å, 90.00 90.00 120.00°
Closest atoms and distances in Å follow each position.
Atoms (fractional coordinates):
Nd (0.0000, 0.0000, 0.0000)  6 Ge 3.08-3.44, 3 Ag 3.15, 3 Au 3.36
Nd (0.0000, 0.0000, 0.4990)  6 Ge 3.09-3.43, 3 Au 3.14, 3 Ag 3.37
Ag (0.3333, 0.6667, 0.7742)  3 Ge 2.67
Ge (0.3333, 0.6667, 0.2100)  3 Au 2.68
Ge (0.6667, 0.3333, 0.7103)  3 Ag 2.67
Au (0.6667, 0.3333, 0.2741)  3 Ge 2.68

Values from the calculation:
SG	No. 156
uncorrected energy	-4.870	eV per atom

---

The following is a PBE calculation of Cs2Fe2AsP after structural relaxation, from OQMD via LeMat-Bulk.

Cell: 3.9381 3.9381 9.5399 Å, 90.00 90.00 90.00°
Closest atoms and distances in Å follow each position.
Atoms (fractional coordinates):
Cs (0.0000, 0.0000, 0.0000)  4 P 3.44, 4 Fe 3.62
Cs (0.5000, 0.5000, 0.3405)  4 As 3.43, 4 Fe 3.80
Fe (0.0000, 0.5000, 0.6814)  2 P 2.22, 2 As 2.33
Fe (0.5000, 0.0000, 0.6814)  2 P 2.22, 2 As 2.33
As (0.0000, 0.0000, 0.5499)  4 Fe 2.33
P (0.5000, 0.5000, 0.7888)  4 Fe 2.22

Values from the calculation:
SG	No. 99
uncorrected energy	-5.012	eV per atom

---

The following is a PBE calculation of BeNbFeSb after structural relaxation, from OQMD via LeMat-Bulk.

Cell: 4.3990 4.3990 4.3990 Å, 60.00 60.00 60.00°
Closest atoms and distances in Å follow each position.
Atoms (fractional coordinates):
Be (0.0000, 0.0000, 0.0000)  4 Fe 2.69, 4 Nb 2.69
Nb (0.2500, 0.2500, 0.2500)  4 Sb 2.69, 4 Be 2.69
Fe (0.7500, 0.7500, 0.7500)  4 Sb 2.69, 4 Be 2.69
Sb (0.5000, 0.5000, 0.5000)  4 Fe 2.69, 4 Nb 2.69

Values from the calculation:
ΔE to the lowest computed polymorph	0.29	eV per formula unit
SG	No. 216
uncorrected energy	-6.216	eV per atom

---

The following is a PBE calculation of Sm2Te2O5 after structural relaxation, from OQMD via LeMat-Bulk.

Cell: 3.9312 3.9312 9.4596 Å, 90.00 90.00 90.00°
Closest atoms and distances in Å follow each position.
Atoms (fractional coordinates):
Sm (0.0000, 0.0000, 0.2408)  5 O 2.28
Sm (0.0000, 0.0000, 0.7592)  5 O 2.28
Te (0.5000, 0.5000, 0.0000)  4 O 2.78
Te (0.5000, 0.5000, 0.5000)  8 O 2.36
O (0.0000, 0.0000, 0.0000)  2 Sm 2.28
O (0.0000, 0.5000, 0.3620)  2 Sm 2.28, 2 Te 2.36
O (0.0000, 0.5000, 0.6380)  2 Sm 2.28, 2 Te 2.36
O (0.5000, 0.0000, 0.3620)  2 Sm 2.28, 2 Te 2.36
O (0.5000, 0.0000, 0.6380)  2 Sm 2.28, 2 Te 2.36

Values from the calculation:
ΔE to the lowest computed polymorph	0.00	eV per formula unit
SG	No. 123
uncorrected energy	-6.422	eV per atom

---

The following is a PBE calculation of LiCuWSe2S after structural relaxation, from OQMD via LeMat-Bulk.

Cell: 6.6915 6.6915 9.3152 Å, 90.00 90.00 150.16°
Closest atoms and distances in Å follow each position.
Atoms (fractional coordinates):
Li (0.2471, 0.7529, 0.7500)  2 S 2.73, 4 Se 2.89
Li (0.7529, 0.2471, 0.2500)  2 S 2.73, 4 Se 2.89
Cu (0.0329, 0.9671, 0.2500)  2 S 2.28, 2 Se 2.37
Cu (0.9671, 0.0329, 0.7500)  2 S 2.28, 2 Se 2.37
W (0.5000, 0.5000, 0.0000)  2 S 2.57, 4 Se 2.60
W (0.5000, 0.5000, 0.5000)  2 S 2.57, 4 Se 2.60
Se (0.1461, 0.8539, 0.0494)  1 Cu 2.37, 2 W 2.60
Se (0.1461, 0.8539, 0.4506)  1 Cu 2.37, 2 W 2.60
Se (0.8539, 0.1461, 0.5494)  1 Cu 2.37, 2 W 2.60
Se (0.8539, 0.1461, 0.9506)  1 Cu 2.37, 2 W 2.60
S (0.4168, 0.5832, 0.2500)  2 Cu 2.28
S (0.5832, 0.4168, 0.7500)  2 Cu 2.28

Values from the calculation:
SG	No. 63
uncorrected energy	-5.308	eV per atom

---

The following is a PBE calculation of HoLuZnTe3 after structural relaxation, from OQMD via LeMat-Bulk.

Cell: 7.7374 7.7374 10.4541 Å, 90.00 90.00 149.29°
Closest atoms and distances in Å follow each position.
Atoms (fractional coordinates):
Ho (0.2227, 0.7773, 0.7500)  6 Te 3.14-3.16
Ho (0.7773, 0.2227, 0.2500)  6 Te 3.14-3.16
Lu (0.0000, 0.0000, 0.0000)  6 Te 3.08-3.13, 4 Zn 3.34
Lu (0.0000, 0.0000, 0.5000)  6 Te 3.08-3.13, 4 Zn 3.34
Zn (0.4763, 0.5237, 0.2500)  4 Te 2.84-2.92
Zn (0.5237, 0.4763, 0.7500)  4 Te 2.84-2.92
Te (0.1157, 0.8843, 0.2500)  2 Zn 2.92, 2 Lu 3.13, 2 Ho 3.16
Te (0.3495, 0.6505, 0.0477)  1 Zn 2.84, 2 Lu 3.08, 2 Ho 3.14
Te (0.3495, 0.6505, 0.4523)  1 Zn 2.84, 2 Lu 3.08, 2 Ho 3.14
Te (0.6505, 0.3495, 0.5477)  1 Zn 2.84, 2 Lu 3.08, 2 Ho 3.14
Te (0.6505, 0.3495, 0.9523)  1 Zn 2.84, 2 Lu 3.08, 2 Ho 3.14
Te (0.8843, 0.1157, 0.7500)  2 Zn 2.92, 2 Lu 3.13, 2 Ho 3.16

Values from the calculation:
SG	No. 63
uncorrected energy	-4.183	eV per atom

---

The following is a PBE calculation of KRbIn4Cu2 after structural relaxation, from OQMD via LeMat-Bulk.

Cell: 7.9358 6.7551 6.7551 Å, 39.53 90.00 90.00°
Closest atoms and distances in Å follow each position.
Atoms (fractional coordinates):
K (0.0000, 0.0000, 0.0000)  3 Cu 3.40-3.74, 4 In 3.77
Rb (0.5000, 0.0779, 0.0779)  3 Cu 3.39-3.74
In (0.1896, 0.7183, 0.7183)  3 Cu 2.73-2.80, 1 In 3.01
In (0.3071, 0.3627, 0.3627)  3 Cu 2.72-2.83
In (0.6929, 0.3627, 0.3627)  3 Cu 2.72-2.83
In (0.8104, 0.7183, 0.7183)  3 Cu 2.73-2.80, 1 In 3.01
Cu (0.0000, 0.2671, 0.2671)  6 In 2.72-2.80
Cu (0.5000, 0.8111, 0.8111)  6 In 2.73-2.83

Values from the calculation:
SG	No. 38
uncorrected energy	-2.583	eV per atom

---

The following is a PBE calculation of TbTaAsO after structural relaxation, from OQMD via LeMat-Bulk.

Cell: 3.8055 7.3641 5.7532 Å, 90.00 90.00 90.00°
Closest atoms and distances in Å follow each position.
Atoms (fractional coordinates):
Tb (0.0000, 0.2295, 0.0000)  2 O 2.21
Tb (0.0000, 0.7705, 0.5000)  2 O 2.21
Ta (0.5000, 0.4067, 0.5088)  2 O 2.08-2.09
Ta (0.5000, 0.5933, 0.0088)  2 O 2.08-2.09
As (0.0000, 0.1644, 0.4875)  2 Ta 2.61, 2 Tb 2.85-2.90
As (0.0000, 0.8356, 0.9875)  2 Ta 2.61, 2 Tb 2.85-2.90
O (0.5000, 0.3365, 0.8599)  2 Ta 2.08-2.09, 2 Tb 2.21
O (0.5000, 0.6635, 0.3599)  2 Ta 2.08-2.09, 2 Tb 2.21

Values from the calculation:
ΔE to the lowest computed polymorph	1.96	eV per formula unit
SG	No. 26
uncorrected energy	-7.879	eV per atom

---

The following is a PBE calculation of Na2Cd3Pd after structural relaxation, from OQMD via LeMat-Bulk.

Cell: 5.9142 5.9142 8.9592 Å, 90.00 90.00 120.00°
Closest atoms and distances in Å follow each position.
Atoms (fractional coordinates):
Na (0.3333, 0.6667, 0.0594)  9 Cd 3.25-3.41, 4 Na 3.41-3.58, 3 Pd 3.46
Na (0.3333, 0.6667, 0.4406)  9 Cd 3.25-3.41, 4 Na 3.41-3.58, 3 Pd 3.46
Na (0.6667, 0.3333, 0.5594)  9 Cd 3.25-3.41, 4 Na 3.41-3.58, 3 Pd 3.46
Na (0.6667, 0.3333, 0.9406)  9 Cd 3.25-3.41, 4 Na 3.41-3.58, 3 Pd 3.46
Cd (0.1678, 0.3355, 0.7500)  2 Pd 2.82, 4 Cd 2.94-2.98
Cd (0.1678, 0.8322, 0.7500)  2 Pd 2.82, 4 Cd 2.94-2.98
Cd (0.3355, 0.1678, 0.2500)  2 Pd 2.82, 4 Cd 2.94-2.98
Cd (0.6645, 0.8322, 0.7500)  2 Pd 2.82, 4 Cd 2.94-2.98
Cd (0.8322, 0.1678, 0.2500)  2 Pd 2.82, 4 Cd 2.94-2.98
Cd (0.8322, 0.6645, 0.2500)  2 Pd 2.82, 4 Cd 2.94-2.98
Pd (0.0000, 0.0000, 0.0000)  6 Cd 2.82
Pd (0.0000, 0.0000, 0.5000)  6 Cd 2.82

Values from the calculation:
SG	No. 194
uncorrected energy	-1.977	eV per atom

---

The following is a PBE calculation of TbZrSb after structural relaxation, from OQMD via LeMat-Bulk.

Cell: 4.9313 4.9313 4.9313 Å, 60.00 60.00 60.00°
Closest atoms and distances in Å follow each position.
Atoms (fractional coordinates):
Tb (0.0000, 0.0000, 0.0000)  4 Sb 3.02
Zr (0.5000, 0.5000, 0.5000)  4 Sb 3.02
Sb (0.2500, 0.2500, 0.2500)  4 Zr 3.02, 4 Tb 3.02

Values from the calculation:
SG	No. 216
uncorrected energy	-6.101	eV per atom